A relaxed structure of La4Pm3Y4. Source: the Alexandria database, functional PBE.

The structure in POSCAR format:
```
La4Pm3Y4
1.0
3.544 0.000 0.000
0.000 5.781 0.000
-1.769 -2.883 18.471
La Pm Y
4 3 4
direct
0.045 0.047 0.091 La
0.180 0.680 0.360 La
0.820 0.320 0.640 La
0.955 0.953 0.909 La
0.363 0.862 0.724 Pm
0.500 0.500 0.000 Pm
0.637 0.138 0.276 Pm
0.091 0.593 0.183 Y
0.233 0.233 0.466 Y
0.767 0.767 0.534 Y
0.909 0.407 0.817 Y
```

Summary:
ΔE_f	0.604	eV/f.u.
space-group type	P-1
E above lowest polymorph	0	meV per atom
E_tot	-5.38	eV/atom
DOS(E_F)	15.58	states/eV per cell

---

A relaxed structure of NaLaGa2Co. Source: the Alexandria database, functional PBE.

The structure in POSCAR format:
```
NaLaGa2Co
1.0
4.805 0.000 0.000
0.000 4.805 0.000
0.000 0.000 4.966
Na La Ga Co
1 1 2 1
direct
0.000 0.000 0.000 Na
0.500 0.500 0.000 La
0.000 0.500 0.500 Ga
0.500 0.000 0.500 Ga
0.500 0.500 0.500 Co
```

Summary:
ΔE_f	-1.276	eV/f.u.
space-group type	P4/mmm
E_tot	-4.14	eV/atom
DOS(E_F)	2.19	states/eV per cell

---

A relaxed structure of NaC. Source: the Alexandria database, functional PBE.

The structure in POSCAR format:
```
NaC
1.0
6.259 0.000 0.000
0.000 6.259 0.000
0.000 0.000 4.319
Na C
4 4
direct
0.214 0.214 0.000 Na
0.286 0.714 0.500 Na
0.714 0.286 0.500 Na
0.786 0.786 0.000 Na
0.071 0.071 0.500 C
0.429 0.571 0.000 C
0.571 0.429 0.000 C
0.929 0.929 0.500 C
```

Summary:
ΔE_f	0.646	eV/f.u.
space-group type	P4_2/mnm
E above lowest polymorph	92	meV per atom
E_tot	-4.95	eV/atom
DOS(E_F)	0.00	states/eV per cell